NiAs2Pb | GGA-PBE | relaxed

## Properties
* electronic total energy: -4.34 eV per atom
* formation energy: 0.356 eV per atom

Unit cell a=5.3963 b=7.8405 c=7.8597 alpha=90.00 beta=90.00 gamma=90.00
Last column: nearest neighbours and their distance in Å.
Space group Fmmm (No. 69)
Symmetry-distinct sites (fractional):
Ni 0.0000 0.0000 0.0000  2 Pb 2.70, 4 As 2.78
As 0.0000 0.2500 0.2500  2 As 2.70, 2 Ni 2.78, 2 Pb 2.78
Pb 0.0000 0.0000 0.5000  2 Ni 2.70, 4 As 2.78

PrNd2Sc | GGA-PBE | relaxed

## Properties
* electronic total energy: -5.11 eV per atom
* energy relative to the lowest polymorph listed for this composition: 0.0098 eV per atom
* formation energy: 0.048 eV per atom

Unit cell a=3.6298 b=3.6298 c=9.9205 alpha=90.00 beta=90.00 gamma=90.00
Last column: nearest neighbours and their distance in Å.
Space group P4/mmm (No. 123)
Symmetry-distinct sites (fractional):
Pr 0.0000 0.0000 0.0000  4 Pr 3.63, 8 Nd 3.69
Nd 0.5000 0.5000 0.2674  4 Sc 3.45, 4 Nd 3.63, 4 Pr 3.69
Sc 0.0000 0.0000 0.5000  8 Nd 3.45, 4 Sc 3.63

Tb2HoHfN4 | GGA-PBE | relaxed

## Properties
* electronic total energy: -8.88 eV per atom
* energy relative to the elements, uncorrected: -13.98 eV per formula unit

Unit cell a=5.8847 b=3.3897 c=5.8974 alpha=90.00 beta=109.18 gamma=90.00
Last column: nearest neighbours and their distance in Å.
Space group P2/m (No. 10)
Symmetry-distinct sites (fractional):
Tb 0.0000 0.0000 0.0000  6 N 2.50-2.51
Tb 0.5000 0.5000 0.0000  6 N 2.42
Ho 0.0000 0.5000 0.5000  6 N 2.39-2.40
Hf 0.5000 0.0000 0.5000  6 N 2.29-2.32
N 0.2590 0.0000 0.7365  1 Hf 2.29, 2 Ho 2.40, 3 Tb 2.42-2.51
N 0.2676 0.5000 0.2699  2 Hf 2.32, 1 Ho 2.39, 3 Tb 2.42-2.50

LaSm2TmS4 | GGA-PBE | relaxed

## Properties
* electronic total energy: -6.44 eV per atom
* energy relative to the elements, uncorrected: -16.18 eV per formula unit

Unit cell a=6.9184 b=3.9636 c=7.0212 alpha=90.00 beta=108.92 gamma=90.00
Last column: nearest neighbours and their distance in Å.
Space group P2/m (No. 10)
Symmetry-distinct sites (fractional):
La 0.0000 0.0000 0.0000  6 S 2.87-2.88
Sm 0.5000 0.0000 0.5000  6 S 2.79-2.80
Sm 0.5000 0.5000 0.0000  6 S 2.90-2.91
Tm 0.0000 0.5000 0.5000  6 S 2.77
S 0.2412 0.0000 0.7349  2 Tm 2.77, 3 Sm 2.80-2.90, 1 La 2.87
S 0.2509 0.5000 0.2631  1 Tm 2.77, 3 Sm 2.79-2.91, 2 La 2.88

Cs3Dy2NpS6 | GGA-PBE | relaxed

## Properties
* electronic total energy: -5.78 eV per atom
* energy relative to the elements, uncorrected: -19.87 eV per formula unit

Unit cell a=7.1631 b=12.3936 c=8.4057 alpha=90.00 beta=106.45 gamma=90.00
Last column: nearest neighbours and their distance in Å.
Space group C2/m (No. 12)
Symmetry-distinct sites (fractional):
Cs 0.0000 0.0000 0.0000  6 S 3.49-3.51
Cs 0.0000 0.3325 0.0000  6 S 3.49-3.52
Dy 0.0000 0.1660 0.5000  6 S 2.79-2.80
Np 0.0000 0.5000 0.5000  6 S 2.82
S 0.2242 0.0000 0.6820  2 Dy 2.79, 1 Np 2.82
S 0.2290 0.3319 0.6814  2 Dy 2.79-2.80, 1 Np 2.82